LiMgNiBi | PBE | relaxed

a b c (Å): 6.6085 6.6085 6.6085
angles (deg): 90.00 90.00 90.00
Fractional coordinates of all 16 atoms:
Li 0.0000 0.0000 0.0000
Li 0.0000 0.5000 0.5000
Li 0.5000 0.0000 0.5000
Li 0.5000 0.5000 0.0000
Mg 0.2500 0.2500 0.7500
Mg 0.2500 0.7500 0.2500
Mg 0.7500 0.2500 0.2500
Mg 0.7500 0.7500 0.7500
Ni 0.2500 0.2500 0.2500
Ni 0.2500 0.7500 0.7500
Ni 0.7500 0.2500 0.7500
Ni 0.7500 0.7500 0.2500
Bi 0.0000 0.0000 0.5000
Bi 0.0000 0.5000 0.0000
Bi 0.5000 0.0000 0.0000
Bi 0.5000 0.5000 0.5000

Computed properties:
Electronic total energy   -3.322 eV/atom
Offset from the most stable computed form   0.158 eV per atom